! KEu3Ni, optimized geometry, DFT GGA-PBE; values from VASP
&SYSTEM
  ibrav = 0, nat = 5, ntyp = 3
/
ATOMIC_SPECIES
K 39.10 K.upf
Eu 151.96 Eu.upf
Ni 58.69 Ni.upf
CELL_PARAMETERS angstrom
5.8373 0.0000 0.0000
0.0000 5.8373 0.0000
0.0000 0.0000 5.8373
ATOMIC_POSITIONS angstrom
K 0.0000 0.0000 0.0000
Eu 0.0000 2.9186 2.9186
Eu 2.9186 0.0000 2.9186
Eu 2.9186 2.9186 0.0000
Ni 2.9186 2.9186 2.9186
! - formation energy from the elements (meV/atom) = 42
! - crystal system = cubic
! - DOS(E_F) (states/eV/f.u.) = 34.0